K2InSnBr4 (PBE, optimized geometry); space group = I-4m2, No. 119; E = -2.98 eV per atom; crystal system = tetragonal; energy relative to the elements, uncorrected = -1.022 eV per atom
1.0
6.670 0.004 0.000
-0.003 6.670 0.000
-3.334 -3.337 6.567
Br In K Sn
4 1 2 1
Cartesian
3.335 0.002 6.406
0.000 0.000 3.263
3.335 0.002 0.161
3.334 3.337 3.304
3.334 3.337 0.000
-0.001 3.335 3.283
0.000 0.000 0.000
3.335 0.002 3.283


MgZrCo2 (PBE, optimized geometry); DFT formation energy = 7 kJ/mol of formula units; space group = I-4m2, No. 119; E = -6.07 eV per atom; crystal system = tetragonal
1.0
-4.067 3.057 0.833
-4.544 -1.176 -2.134
3.683 -2.340 2.746
Mg Co Zr
1 2 1
Cartesian
-4.306 0.941 -0.651
-2.583 -1.287 -0.019
0.000 0.000 0.000
-2.345 0.829 1.464


SrThZrN3 (PBE, optimized geometry); space group = P2_1/m, No. 11; E = -8.28 eV per atom; crystal system = monoclinic; energy relative to the elements, uncorrected = -1.177 eV per atom
1.0
-1.861 1.822 -2.403
-5.858 -3.507 1.878
-2.309 6.663 6.839
N Zr Th Sr
6 2 2 2
Cartesian
-3.919 0.681 -0.368
-6.108 4.298 6.681
-3.179 3.784 1.412
-3.390 4.823 4.975
-6.848 1.194 4.902
-6.638 0.155 1.339
-7.291 1.452 2.828
-2.736 3.526 3.485
-4.421 -0.822 1.494
-5.606 5.801 4.820
-1.701 1.354 1.037
-8.327 3.625 5.277


Sm5TeRh2 (PBE, optimized geometry); space group = I4/mcm, No. 140; E = -5.94 eV per atom; crystal system = tetragonal; energy relative to the elements, uncorrected = -0.762 eV per atom
1.0
-6.213 -4.653 1.627
4.902 -6.108 1.248
1.104 7.087 5.155
Te Rh Sm
2 4 10
Cartesian
0.224 0.853 3.296
-0.431 -4.527 4.733
1.981 -6.911 1.654
-3.292 -3.850 1.221
-2.188 -7.913 2.197
0.877 -2.848 0.678
0.191 -7.743 3.920
0.000 0.000 0.000
2.370 -4.260 2.870
1.051 -1.587 5.475
-1.257 -2.087 2.554
3.229 1.895 4.425
-0.656 -5.381 1.437
-3.436 -5.569 3.604
-2.576 0.586 5.159
-0.398 4.069 4.110


YMgP (PBE, optimized geometry); DFT formation energy = -263 kJ/mol of formula units; space group = Pmmn, No. 59; E = -5.40 eV per atom; polymorph energy (0 for the lowest one) = 0.000 eV/atom; crystal system = orthorhombic
1.0
3.795 0.000 0.221
0.000 4.133 0.000
-0.501 0.000 8.655
Mg P Y
2 2 2
Cartesian
0.916 3.100 0.622
2.378 1.033 8.254
0.606 1.033 5.954
2.687 3.100 2.923
2.522 3.100 5.747
0.771 1.033 3.130


GaBiIO2 (PBE, optimized geometry); space group = P4/mmm, No. 123; E = -3.78 eV per atom; polymorph energy (0 for the lowest one) = 0.243 eV/atom; crystal system = tetragonal; energy relative to the elements, uncorrected = -0.105 eV per atom
1.0
-2.741 -0.977 -3.090
-1.167 -3.479 2.134
-3.766 2.775 2.464
Bi I O Ga
1 1 2 1
Cartesian
-3.837 -0.840 0.754
-1.883 1.387 1.232
-1.371 -0.488 -1.545
-0.583 -1.739 1.067
0.000 0.000 0.000


Sr4ScRe2 (PBE, optimized geometry); DFT formation energy = 832 kJ/mol of formula units; space group = I4/mmm, No. 139; E = -4.19 eV per atom; crystal system = tetragonal
1.0
-0.222 -4.388 -4.237
-1.009 -4.155 4.356
-8.038 -3.212 -0.649
Sr Re Sc
4 2 1
Cartesian
-0.504 -2.078 2.178
-4.772 -3.678 -0.337
-0.111 -2.194 -2.119
-4.496 -8.077 -0.193
-7.568 -7.639 -0.486
-1.701 -4.117 -0.044
0.000 0.000 0.000


U2TcC (PBE, optimized geometry); DFT formation energy = 62 kJ/mol of formula units; space group = P4/mmm, No. 123; E = -10.38 eV per atom; polymorph energy (0 for the lowest one) = 0.208 eV/atom; crystal system = tetragonal
1.0
3.271 0.000 0.000
0.000 3.271 0.000
0.000 0.000 6.079
U Tc C
2 1 1
Cartesian
0.000 0.000 4.826
0.000 0.000 1.253
1.635 1.635 3.040
1.635 1.635 0.000


CrOsIN2 (PBE, optimized geometry); space group = P4/mmm, No. 123; E = -6.89 eV per atom; polymorph energy (0 for the lowest one) = 0.000 eV/atom; crystal system = tetragonal; energy relative to the elements, uncorrected = 0.921 eV per atom
1.0
3.854 0.000 0.000
0.000 3.854 0.000
0.000 0.000 6.065
N I Os Cr
2 1 1 1
Cartesian
0.000 1.927 0.000
1.927 0.000 0.000
0.000 0.000 3.032
0.000 0.000 0.000
1.927 1.927 3.032


Th2TiCu (PBE, optimized geometry); DFT formation energy = 192 kJ/mol of formula units; space group = R-3m, No. 166; E = -6.21 eV per atom; polymorph energy (0 for the lowest one) = 0.399 eV/atom; crystal system = trigonal
1.0
-1.175 -2.635 1.569
2.036 -2.409 0.915
1.842 3.171 10.142
Th Ti Cu
2 1 1
Cartesian
1.415 1.837 7.581
1.288 -3.710 5.045
0.000 0.000 0.000
1.351 -0.937 6.313


RbYCd2F8 (PBE, optimized geometry); space group = P-1, No. 2; E = -4.92 eV per atom; crystal system = triclinic; energy relative to the elements, uncorrected = -2.899 eV per atom
1.0
-2.108 3.446 -0.614
-5.628 -1.973 0.711
-0.632 1.611 8.158
F Cd Y Rb
8 2 1 1
Cartesian
-3.338 2.921 1.150
-4.411 -0.876 2.412
-5.029 0.164 7.105
-5.471 1.540 4.399
-3.956 3.961 5.843
-2.896 1.545 3.857
-2.686 2.654 7.650
-5.682 0.430 0.605
-4.534 1.436 2.310
-3.833 1.649 5.945
0.000 0.000 0.000
-0.316 0.806 4.079


Ta2SiSn (PBE, optimized geometry); space group = I-42d, No. 122; E = -7.87 eV per atom; polymorph energy (0 for the lowest one) = 0.189 eV/atom; crystal system = tetragonal; energy relative to the elements, uncorrected = 0.416 eV per atom
1.0
-3.957 0.118 -0.495
-0.480 -2.156 3.323
-2.635 7.265 6.728
Ta Sn Si
4 2 2
Cartesian
-5.854 3.688 7.486
-3.151 1.620 1.793
-3.645 4.662 6.141
-1.495 0.485 3.692
-4.406 3.182 3.823
0.000 0.000 0.000
-2.219 -1.019 1.414
-2.667 2.045 5.732


LiAuO3 (PBE, optimized geometry); space group = Cmcm, No. 63; E = -4.48 eV per atom; crystal system = orthorhombic; energy relative to the elements, uncorrected = -0.468 eV per atom
1.0
-6.505 4.188 0.804
-1.416 -2.681 2.511
3.662 4.391 6.755
Li O Au
4 12 4
Cartesian
1.123 0.855 4.633
-3.252 2.094 0.402
-0.708 -1.341 1.255
-1.422 4.290 3.779
-3.991 6.080 4.242
-2.486 3.287 2.109
-4.318 6.045 7.107
-1.952 -2.200 2.722
-2.308 8.098 7.347
-1.774 2.610 7.960
-4.496 1.234 1.869
0.059 -0.147 2.963
-2.813 3.253 4.974
-0.269 -0.182 5.827
-1.446 2.645 5.096
0.237 4.664 8.200
-0.623 3.666 6.650
-3.637 2.232 3.419
-3.167 7.100 5.797
-1.092 -1.203 4.273


Y2HgRu (PBE, optimized geometry); DFT formation energy = -88 kJ/mol of formula units; space group = Cm, No. 8; E = -5.85 eV per atom; crystal system = monoclinic
1.0
-4.848 3.851 -1.751
-5.524 2.938 1.501
0.712 4.556 1.428
Hg Ru Y
1 1 2
Cartesian
-5.364 5.785 0.510
-2.423 2.834 0.292
-9.857 6.686 -0.171
-7.219 8.500 0.887


USiTe2 (PBE, optimized geometry); space group = R-3m, No. 166; E = -5.34 eV per atom; crystal system = trigonal; energy relative to the elements, uncorrected = 0.409 eV per atom
1.0
3.758 0.000 0.000
1.879 3.255 0.000
1.879 1.085 9.378
U Te Si
1 2 1
Cartesian
0.000 0.000 0.000
5.638 3.255 3.035
1.879 1.085 6.343
3.758 2.170 4.689


LiCdAgGe (PBE, optimized geometry); DFT formation energy = -35 kJ/mol of formula units; space group = F-43m, No. 216; E = -2.67 eV per atom; polymorph energy (0 for the lowest one) = 0.014 eV/atom; crystal system = cubic
1.0
-3.913 -1.219 -2.243
-3.307 -2.436 2.227
-4.058 2.037 1.105
Ge Ag Li Cd
1 1 1 1
Cartesian
-2.820 -0.405 0.272
-5.639 -0.809 0.544
0.000 0.000 0.000
-8.459 -1.214 0.816


SrAg9Sn2 (PBE, optimized geometry); DFT formation energy = -76 kJ/mol of formula units; space group = R-3m, No. 166; E = -3.01 eV per atom; crystal system = trigonal
1.0
-3.588 2.858 -3.412
-4.624 -2.613 -2.115
-7.571 2.728 5.457
Ag Sn Sr
9 2 1
Cartesian
-7.145 2.248 -2.610
-5.326 0.800 -0.881
-10.297 2.803 3.596
-10.458 2.173 0.811
-7.892 1.486 -0.035
-8.639 0.725 2.541
-7.670 -0.525 -1.953
-8.114 3.497 1.883
-5.487 0.170 -3.666
-10.341 1.410 -2.312
-5.443 1.563 2.243
0.000 0.000 0.000


BaTaW2 (PBE, optimized geometry); DFT formation energy = 400 kJ/mol of formula units; space group = P4/mmm, No. 123; E = -8.88 eV per atom; polymorph energy (0 for the lowest one) = 0.284 eV/atom; crystal system = tetragonal
1.0
2.841 0.000 0.000
0.000 2.841 0.000
0.000 0.000 10.562
Ba W Ta
1 2 1
Cartesian
1.420 1.420 2.641
0.000 0.000 10.154
0.000 0.000 5.690
1.420 1.420 7.922


DyWN (PBE, optimized geometry); space group = P-6m2, No. 187; E = -8.70 eV per atom; crystal system = hexagonal; energy relative to the elements, uncorrected = -0.074 eV per atom
1.0
3.102 0.000 0.000
-1.551 2.687 0.000
0.000 0.000 11.154
W N Dy
2 2 2
Cartesian
0.000 1.493 9.819
0.000 1.493 1.334
1.551 0.597 0.000
0.000 1.492 5.577
1.551 0.597 7.101
1.551 0.597 4.053


Ta2CoP (PBE, optimized geometry); DFT formation energy = -73 kJ/mol of formula units; space group = I-4m2, No. 119; E = -9.25 eV per atom; crystal system = tetragonal
1.0
5.114 0.007 0.000
2.519 4.451 0.000
-3.817 -2.229 2.573
P Ta Co
1 2 1
Cartesian
2.557 0.003 1.287
0.000 0.000 0.000
1.260 2.226 1.287
3.817 2.229 0.000


Ca3Er4Tl4 (PBE, optimized geometry); DFT formation energy = -205 kJ/mol of formula units; space group = Immm, No. 71; E = -3.26 eV per atom; crystal system = orthorhombic
1.0
-0.450 3.129 3.388
-8.714 0.320 -1.453
3.406 -8.026 4.695
Er Tl Ca
4 4 3
Cartesian
-2.507 -4.066 3.422
-3.251 -0.512 3.209
-6.724 -0.384 2.630
0.966 -4.193 4.001
-7.249 1.822 0.523
-4.904 -2.773 1.909
-0.854 -1.805 4.722
-1.914 1.626 1.412
-4.357 0.160 -0.726
-0.267 -1.433 1.287
-5.490 -3.145 5.343


MgTaTl2 (PBE, optimized geometry); DFT formation energy = 123 kJ/mol of formula units; space group = R-3m, No. 166; E = -4.23 eV per atom; crystal system = trigonal
1.0
9.992 0.006 0.004
9.472 3.183 0.004
9.472 1.552 2.779
Tl Ta Mg
2 1 1
Cartesian
14.467 2.370 1.393
0.001 0.000 0.000
21.702 3.556 2.090
7.234 1.185 0.697


PuSc2Hg (PBE, optimized geometry); DFT formation energy = -52 kJ/mol of formula units; space group = P4/mmm, No. 123; E = -6.96 eV per atom; polymorph energy (0 for the lowest one) = 0.000 eV/atom; crystal system = tetragonal
1.0
-1.069 -0.294 -3.117
3.131 -0.074 -1.067
0.065 -8.442 0.775
Hg Pu Sc
1 1 2
Cartesian
1.031 -0.184 -2.092
1.063 -4.405 -1.705
0.050 -6.482 0.595
0.015 -1.959 0.180


ScCoSe (PBE, optimized geometry); space group = P-6m2, No. 187; E = -6.47 eV per atom; crystal system = hexagonal; energy relative to the elements, uncorrected = -0.829 eV per atom
1.0
3.952 0.000 0.000
-1.976 3.423 0.000
0.000 0.000 3.537
Co Se Sc
1 1 1
Cartesian
0.000 0.000 2.947
0.000 2.282 2.949
1.976 1.141 1.179


Sr2Ac2Co (PBE, optimized geometry); DFT formation energy = 153 kJ/mol of formula units; space group = C2/m, No. 12; E = -3.42 eV per atom; crystal system = monoclinic
1.0
5.683 0.007 1.257
2.708 4.996 1.256
1.432 0.853 6.972
Co Sr Ac
1 2 2
Cartesian
0.000 0.000 0.000
7.787 4.642 5.234
2.037 1.214 4.251
4.393 2.618 7.081
5.431 3.237 2.403


TbPm7Dy4 (PBE, optimized geometry); DFT formation energy = 6 kJ/mol of formula units; space group = P-1, No. 2; E = -4.69 eV per atom; polymorph energy (0 for the lowest one) = 0.000 eV/atom; crystal system = triclinic
1.0
-3.850 4.781 3.901
-1.029 2.755 9.164
7.234 5.266 0.690
Pm Dy Tb
7 4 1
Cartesian
3.165 6.710 8.459
1.566 3.886 6.943
-3.402 4.978 7.518
5.756 7.825 6.237
-1.925 2.391 1.950
-0.811 6.093 5.296
0.788 8.917 6.812
1.240 9.096 10.417
-0.377 6.275 8.911
1.114 3.707 3.338
2.731 6.528 4.844
0.000 0.000 0.000